A plane-wave DFT calculation with PBE-GGA was carried out for a relaxed CaSi2H crystal.

Summary:
Calculated volume, A^3/atom: 17.1
Fermi-level density of states, states/eV per atom: 0.20
Raw total energy, eV per cell: -33.875
Calculated density, g/cm3: 2.36

a = 3.8640 Å, b = 6.1993 Å, c = 6.2805 Å
α = 85.00°, β = 73.18°, γ = 72.16°
Element x y z (fractional)
Ca: 0.0000 0.0000 0.0000
Ca: 0.4872 0.5517 0.4987
Si: 0.2279 0.4292 0.0958
Si: 0.2559 0.1599 0.3732
Si: 0.7346 0.5750 0.9293
Si: 0.7997 0.9658 0.5316
H: 0.1412 0.8567 0.6727
H: 0.5701 0.0936 0.7580

---

A plane-wave DFT calculation with PBE-GGA was carried out for a relaxed Mn2BiNCl crystal.

Summary:
Calculated volume, A^3/atom: 21.1
Fermi-level density of states, states/eV per atom: 0.90
Raw total energy, eV per cell: -24.783
Formation energy (no corrections), eV per formula unit: 7.61
Calculated density, g/cm3: 5.81

a = 4.1862 Å, b = 4.1862 Å, c = 6.0090 Å
α = 90.00°, β = 90.00°, γ = 90.00°
Element x y z (fractional)
Mn: 0.0000 0.5000 0.0000
Mn: 0.5000 0.0000 0.0000
Bi: 0.0000 0.0000 0.5000
N: 0.5000 0.5000 0.5000
Cl: 0.0000 0.0000 0.0000

---

A plane-wave DFT calculation with PBE-GGA was carried out for a relaxed SiOs2Pt crystal.

Summary:
Calculated volume, A^3/atom: 14.1
Fermi-level density of states, states/eV per atom: 0.75
Raw total energy, eV per cell: -33.778
Formation energy (no corrections), eV per formula unit: 0.15
Calculated density, g/cm3: 17.72

a = 5.1057 Å, b = 5.1057 Å, c = 5.1057 Å
α = 146.04°, β = 129.76°, γ = 62.04°
Element x y z (fractional)
Si: 0.0000 0.0000 0.0000
Os: 0.2198 0.7198 0.5000
Os: 0.4955 0.4955 0.0000
Pt: 0.7818 0.2818 0.5000

---

A plane-wave DFT calculation with PBE-GGA was carried out for a relaxed SiHg4 crystal.

Summary:
Calculated volume, A^3/atom: 26.0
Fermi-level density of states, states/eV per atom: 0.48
Raw total energy, eV per cell: -4.318
Formation energy (no corrections), eV per formula unit: 2.31
Calculated density, g/cm3: 10.59

a = 8.6757 Å, b = 8.6757 Å, c = 8.6757 Å
α = 153.45°, β = 153.45°, γ = 37.90°
Element x y z (fractional)
Si: 0.0000 0.0000 0.0000
Hg: 0.2500 0.7500 0.5000
Hg: 0.4104 0.4104 0.0000
Hg: 0.5896 0.5896 0.0000
Hg: 0.7500 0.2500 0.5000

---

A plane-wave DFT calculation with PBE-GGA was carried out for a relaxed Ac2AlPd crystal.

Summary:
Calculated volume, A^3/atom: 32.5
Fermi-level density of states, states/eV per atom: 0.50
Raw total energy, eV per cell: -16.658
Calculated density, g/cm3: 7.51

a = 10.8098 Å, b = 10.8098 Å, c = 10.8098 Å
α = 20.05°, β = 20.05°, γ = 20.05°
Element x y z (fractional)
Ac: 0.0883 0.0883 0.0883
Ac: 0.9117 0.9117 0.9117
Al: 0.5000 0.5000 0.5000
Pd: 0.0000 0.0000 0.0000

---

A plane-wave DFT calculation with PBE-GGA was carried out for a relaxed TcNiTe2 crystal.

Summary:
Calculated volume, A^3/atom: 21.8
Fermi-level density of states, states/eV per atom: 0.95
Raw total energy, eV per cell: -22.250
Formation energy (no corrections), eV per formula unit: 0.18
Calculated density, g/cm3: 7.84

a = 3.3440 Å, b = 3.3440 Å, c = 7.8063 Å
α = 90.00°, β = 90.00°, γ = 90.00°
Element x y z (fractional)
Tc: 0.0000 0.0000 0.0000
Ni: 0.5000 0.5000 0.7999
Te: 0.0000 0.0000 0.6569
Te: 0.5000 0.5000 0.1780

---

A plane-wave DFT calculation with PBE-GGA was carried out for a relaxed LiRe3Cl crystal.

Summary:
Calculated volume, A^3/atom: 16.5
Fermi-level density of states, states/eV per atom: 0.95
Raw total energy, eV per cell: -32.731
Formation energy (no corrections), eV per formula unit: 8.37
Calculated density, g/cm3: 12.10

a = 4.3535 Å, b = 4.3535 Å, c = 4.3535 Å
α = 90.00°, β = 90.00°, γ = 90.00°
Element x y z (fractional)
Li: 0.0000 0.0000 0.0000
Re: 0.0000 0.5000 0.5000
Re: 0.5000 0.0000 0.5000
Re: 0.5000 0.5000 0.0000
Cl: 0.5000 0.5000 0.5000

---

A plane-wave DFT calculation with PBE-GGA was carried out for a relaxed HoLuRu crystal.

Summary:
Calculated volume, A^3/atom: 23.9
Fermi-level density of states, states/eV per atom: 0.47
Raw total energy, eV per cell: -19.590
Calculated density, g/cm3: 10.20

a = 6.7683 Å, b = 6.7683 Å, c = 6.7683 Å
α = 151.20°, β = 151.20°, γ = 41.19°
Element x y z (fractional)
Ho: 0.0000 0.0000 0.0000
Lu: 0.2559 0.2559 0.0000
Ru: 0.6311 0.6311 0.0000

---

A plane-wave DFT calculation with PBE-GGA was carried out for a relaxed VB3Mo crystal.

Summary:
Calculated volume, A^3/atom: 11.2
Fermi-level density of states, states/eV per atom: 0.36
Raw total energy, eV per cell: -34.317
Calculated density, g/cm3: 5.32

a = 3.8260 Å, b = 3.8260 Å, c = 3.8260 Å
α = 90.00°, β = 90.00°, γ = 90.00°
Element x y z (fractional)
V: 0.0000 0.0000 0.0000
B: 0.0000 0.0000 0.5000
B: 0.0000 0.5000 0.0000
B: 0.5000 0.0000 0.0000
Mo: 0.5000 0.5000 0.5000

---

A plane-wave DFT calculation with PBE-GGA was carried out for a relaxed La2AgF8 crystal.

Summary:
Calculated volume, A^3/atom: 17.5
Raw total energy, eV per cell: -63.847
Formation energy (no corrections), eV per formula unit: -36.17
Calculated density, g/cm3: 4.65

a = 6.8972 Å, b = 6.8972 Å, c = 4.4823 Å
α = 97.07°, β = 97.07°, γ = 112.45°
Element x y z (fractional)
La: 0.1691 0.8309 0.0000
La: 0.8309 0.1691 0.0000
Ag: 0.5000 0.5000 0.0000
F: 0.1196 0.1196 0.2667
F: 0.1746 0.4572 0.9387
F: 0.2307 0.7693 0.5000
F: 0.4572 0.1746 0.9387
F: 0.5428 0.8254 0.0613
F: 0.7693 0.2307 0.5000
F: 0.8254 0.5428 0.0613
F: 0.8804 0.8804 0.7333

---

A plane-wave DFT calculation with PBE-GGA was carried out for a relaxed La4Pr2Sn3Br2 crystal.

Summary:
Calculated volume, A^3/atom: 34.7
Fermi-level density of states, states/eV per atom: 1.03
Raw total energy, eV per cell: -51.970
Formation energy (no corrections), eV per formula unit: -7.35
Calculated density, g/cm3: 5.88

a = 12.8005 Å, b = 12.8005 Å, c = 12.8005 Å
α = 154.71°, β = 154.71°, γ = 36.07°
Element x y z (fractional)
La: 0.0905 0.5905 0.5000
La: 0.4095 0.9095 0.5000
La: 0.5905 0.0905 0.5000
La: 0.9095 0.4095 0.5000
Pr: 0.1999 0.1999 0.0000
Pr: 0.8001 0.8001 0.0000
Sn: 0.3309 0.3309 0.0000
Sn: 0.5000 0.5000 0.0000
Sn: 0.6691 0.6691 0.0000
Br: 0.0675 0.0675 0.0000
Br: 0.9325 0.9325 0.0000

---

A plane-wave DFT calculation with PBE-GGA was carried out for a relaxed Mn2Re2Ru crystal.

Summary:
Calculated volume, A^3/atom: 13.4
Fermi-level density of states, states/eV per atom: 1.35
Raw total energy, eV per cell: -103.212
Calculated density, g/cm3: 14.47

a = 6.9271 Å, b = 6.9271 Å, c = 2.7910 Å
α = 90.00°, β = 90.00°, γ = 90.00°
Element x y z (fractional)
Mn: 0.1292 0.3708 0.0000
Mn: 0.3708 0.8708 0.0000
Mn: 0.6292 0.1292 0.0000
Mn: 0.8708 0.6292 0.0000
Re: 0.1697 0.6697 0.5000
Re: 0.3303 0.1697 0.5000
Re: 0.6697 0.8303 0.5000
Re: 0.8303 0.3303 0.5000
Ru: 0.0000 0.0000 0.0000
Ru: 0.5000 0.5000 0.0000